# ErTm5P6

An optimized crystal structure of ErTm5P6 (PBE, the Alexandria database).

Summary:
* space group: C2/m, No. 12
* ΔH_f (0 K): -1.61 eV/atom

abc: 6.843 6.845 6.845
angles: 60.00 80.41 70.53
Fractional positions:
P (0.750, 0.417, 0.666)
Tm (0.000, 0.333, 0.333)
Tm (0.500, 0.833, 0.333)
P (0.250, 0.583, 0.334)
P (0.750, 0.083, 0.334)
Tm (0.500, 0.500, 0.000)
P (0.250, 0.917, 0.666)
P (0.750, 0.749, 0.000)
P (0.250, 0.251, 0.000)
Tm (0.000, 0.667, 0.667)
Tm (0.500, 0.167, 0.667)
Er (0.000, 0.000, 0.000)



# ErTm3P4

An optimized crystal structure of ErTm3P4 (PBE, the Alexandria database).

Summary:
* space group: Cmmm, No. 65
* ΔH_f (0 K): -1.61 eV/atom

abc: 3.954 6.846 6.846
angles: 109.46 90.00 90.00
Fractional positions:
Tm (0.000, 0.500, 0.000)
Er (0.500, 0.000, 0.000)
P (0.000, 0.749, 0.749)
P (0.500, 0.750, 0.250)
P (0.000, 0.251, 0.251)
Tm (0.500, 0.500, 0.500)
Tm (0.000, 0.000, 0.500)
P (0.500, 0.250, 0.750)



Number 1: density 7.6 g/cm3, N(E_F) 0.098 states/eV/atom. Number 2: density 7.6 g/cm3, N(E_F) 0.125 states/eV/atom.